# 1
MgTePb2: relaxed, PBE-GGA.

Summary:
energy relative to the elements, uncorrected: -10 kJ/mol of atoms
total energy: -12.55 eV/f.u.
E above lowest polymorph: 99 meV/atom

Cell and atoms, written as extended XYZ:
```
4
Lattice="3.133 -3.145 0.000 3.133 3.145 0.000 0.000 0.000 6.136" Properties=species:S:1:pos:R:3 pbc="T T T"
Mg 0.000 0.000 0.000
Te 3.133 0.000 0.000
Pb 3.133 1.581 3.068
Pb 3.133 -1.581 3.068
```

# 2
SrYAgAu: relaxed, PBE-GGA.

Summary:
E_form: -0.471 eV/atom
total energy: -16.16 eV/f.u.

Cell and atoms, written as extended XYZ:
```
4
Lattice="0.000 3.729 3.729 3.729 0.000 3.729 3.729 3.729 0.000" Properties=species:S:1:pos:R:3 pbc="T T T"
Sr 0.000 0.000 0.000
Y 3.729 3.729 3.729
Ag 1.865 1.865 1.865
Au 5.594 5.594 5.594
```

Q: Which of these has the lowest total energy?
A: SrYAgAu

Q: The highest total energy belongs to which entry?
A: MgTePb2

Q: The lowest total energy belongs to which entry?
A: SrYAgAu